No. 1
# TbSmNCl3, optimized geometry, DFT PBE
# * spin magnetization: 0.00 μB per formula unit
# * E_tot: -0.2201 hartree per atom
data_TbSmNCl3
_space_group_name_H-M_alt 'P 1'
_space_group_IT_number 1
_space_group_name_Hall 'P 1'
_cell_length_a 8.380
_cell_length_b 8.380
_cell_length_c 10.786
_cell_angle_alpha 119.67
_cell_angle_beta 119.67
_cell_angle_gamma 27.01
loop_
_atom_site_label
_atom_site_fract_x
_atom_site_fract_y
_atom_site_fract_z
Tb1 0.085 0.085 0.454
Tb2 0.915 0.915 0.546
Sm1 0.362 0.362 0.208
Sm2 0.638 0.638 0.792
N1 0.075 0.075 0.654
N2 0.925 0.925 0.346
Cl1 0.164 0.164 0.013
Cl2 0.280 0.280 0.389
Cl3 0.450 0.450 0.747
Cl4 0.550 0.550 0.253
Cl5 0.720 0.720 0.611
Cl6 0.836 0.836 0.987


No. 2
# SmYNCl2, optimized geometry, DFT PBE
# * spin magnetization: 0.01 μB per formula unit
# * E_tot: -0.2416 hartree per atom
data_SmYNCl2
_space_group_name_H-M_alt 'P 1'
_space_group_IT_number 1
_space_group_name_Hall 'P 1'
_cell_length_a 3.647
_cell_length_b 3.647
_cell_length_c 10.140
_cell_angle_alpha 90.00
_cell_angle_beta 90.00
_cell_angle_gamma 120.00
loop_
_atom_site_label
_atom_site_fract_x
_atom_site_fract_y
_atom_site_fract_z
Sm1 0.000 0.000 0.000
Y1 0.667 0.333 0.738
N1 0.333 0.667 0.861
Cl1 0.000 0.000 0.565
Cl2 0.667 0.333 0.181


No. 3
# Zn2SnN4Cl, optimized geometry, DFT PBE
# * E_tot: -0.1768 hartree per atom
data_Zn2SnN4Cl
_space_group_name_H-M_alt 'P 1'
_space_group_IT_number 1
_space_group_name_Hall 'P 1'
_cell_length_a 6.238
_cell_length_b 6.238
_cell_length_c 6.238
_cell_angle_alpha 135.72
_cell_angle_beta 135.72
_cell_angle_gamma 64.41
loop_
_atom_site_label
_atom_site_fract_x
_atom_site_fract_y
_atom_site_fract_z
Zn1 0.000 0.000 0.000
Zn2 0.750 0.250 0.500
Sn1 0.500 0.500 0.000
N1 0.027 0.543 0.717
N2 0.457 0.174 0.484
N3 0.690 0.973 0.516
N4 0.826 0.310 0.283
Cl1 0.250 0.750 0.500


No. 4
# W2NCl9, optimized geometry, DFT PBE
# * spin magnetization: 0.00 μB per formula unit
# * E_tot: -0.1860 hartree per atom
data_W2NCl9
_space_group_name_H-M_alt 'P 1'
_space_group_IT_number 1
_space_group_name_Hall 'P 1'
_cell_length_a 8.965
_cell_length_b 17.182
_cell_length_c 12.656
_cell_angle_alpha 90.00
_cell_angle_beta 134.73
_cell_angle_gamma 90.00
loop_
_atom_site_label
_atom_site_fract_x
_atom_site_fract_y
_atom_site_fract_z
W1 0.184 0.092 0.042
W2 0.184 0.408 0.542
W3 0.189 0.190 0.539
W4 0.189 0.310 0.039
W5 0.811 0.690 0.961
W6 0.811 0.810 0.461
W7 0.816 0.592 0.458
W8 0.816 0.908 0.958
N1 0.183 0.194 0.041
N2 0.183 0.306 0.541
N3 0.817 0.694 0.459
N4 0.817 0.806 0.959
Cl1 0.000 0.075 0.795
Cl2 0.000 0.425 0.295
Cl3 0.000 0.575 0.705
Cl4 0.000 0.925 0.205
Cl5 0.004 0.198 0.291
Cl6 0.004 0.302 0.791
Cl7 0.123 0.690 0.024
Cl8 0.123 0.810 0.524
Cl9 0.146 0.574 0.532
Cl10 0.146 0.926 0.032
Cl11 0.200 0.056 0.536
Cl12 0.200 0.444 0.036
Cl13 0.345 0.074 0.283
Cl14 0.345 0.426 0.783
Cl15 0.370 0.192 0.787
Cl16 0.370 0.308 0.287
Cl17 0.494 0.069 0.111
Cl18 0.494 0.431 0.611
Cl19 0.500 0.202 0.603
Cl20 0.500 0.298 0.103
Cl21 0.500 0.702 0.897
Cl22 0.500 0.798 0.397
Cl23 0.506 0.569 0.389
Cl24 0.506 0.931 0.889
Cl25 0.630 0.692 0.713
Cl26 0.630 0.808 0.213
Cl27 0.655 0.574 0.217
Cl28 0.655 0.926 0.717
Cl29 0.800 0.556 0.964
Cl30 0.800 0.944 0.464
Cl31 0.854 0.074 0.968
Cl32 0.854 0.426 0.468
Cl33 0.877 0.190 0.476
Cl34 0.877 0.310 0.976
Cl35 0.996 0.698 0.209
Cl36 0.996 0.802 0.709


No. 5
# WNCl3, optimized geometry, DFT PBE
# * spin magnetization: 0.00 μB per formula unit
# * E_tot: -0.2246 hartree per atom
data_WNCl3
_space_group_name_H-M_alt 'P 1'
_space_group_IT_number 1
_space_group_name_Hall 'P 1'
_cell_length_a 7.962
_cell_length_b 8.295
_cell_length_c 9.211
_cell_angle_alpha 97.77
_cell_angle_beta 107.90
_cell_angle_gamma 110.54
loop_
_atom_site_label
_atom_site_fract_x
_atom_site_fract_y
_atom_site_fract_z
W1 0.010 0.056 0.227
W2 0.122 0.348 0.619
W3 0.878 0.652 0.381
W4 0.990 0.944 0.773
N1 0.051 0.160 0.688
N2 0.052 0.219 0.391
N3 0.948 0.781 0.609
N4 0.949 0.840 0.312
Cl1 0.059 0.225 0.045
Cl2 0.190 0.642 0.475
Cl3 0.222 0.572 0.844
Cl4 0.319 0.069 0.298
Cl5 0.322 0.051 0.895
Cl6 0.435 0.390 0.660
Cl7 0.565 0.610 0.340
Cl8 0.678 0.949 0.105
Cl9 0.681 0.931 0.702
Cl10 0.778 0.428 0.156
Cl11 0.810 0.358 0.525
Cl12 0.941 0.775 0.955


No. 6
# Zn2NCl, optimized geometry, DFT PBE
# * E_tot: -0.1338 hartree per atom
data_Zn2NCl
_space_group_name_H-M_alt 'P 1'
_space_group_IT_number 1
_space_group_name_Hall 'P 1'
_cell_length_a 6.154
_cell_length_b 6.024
_cell_length_c 7.489
_cell_angle_alpha 90.00
_cell_angle_beta 90.00
_cell_angle_gamma 90.00
loop_
_atom_site_label
_atom_site_fract_x
_atom_site_fract_y
_atom_site_fract_z
Zn1 0.000 0.000 0.000
Zn2 0.000 0.500 0.000
Zn3 0.101 0.250 0.338
Zn4 0.399 0.750 0.838
Zn5 0.500 0.000 0.500
Zn6 0.500 0.500 0.500
Zn7 0.601 0.250 0.162
Zn8 0.899 0.750 0.662
N1 0.087 0.750 0.871
N2 0.413 0.250 0.371
N3 0.587 0.750 0.629
N4 0.913 0.250 0.129
Cl1 0.093 0.750 0.387
Cl2 0.407 0.250 0.887
Cl3 0.593 0.750 0.113
Cl4 0.907 0.250 0.613


No. 7
# Zn2NCl, optimized geometry, DFT PBE
# * E_tot: -0.1333 hartree per atom
data_Zn2NCl
_space_group_name_H-M_alt 'P 1'
_space_group_IT_number 1
_space_group_name_Hall 'P 1'
_cell_length_a 6.129
_cell_length_b 6.129
_cell_length_c 6.129
_cell_angle_alpha 129.16
_cell_angle_beta 129.16
_cell_angle_gamma 74.76
loop_
_atom_site_label
_atom_site_fract_x
_atom_site_fract_y
_atom_site_fract_z
Zn1 0.003 0.125 0.378
Zn2 0.375 0.997 0.122
Zn3 0.747 0.625 0.622
Zn4 0.875 0.253 0.878
N1 0.000 0.000 0.000
N2 0.750 0.250 0.500
Cl1 0.250 0.750 0.500
Cl2 0.500 0.500 0.000


No. 8
# ZrNCl, optimized geometry, DFT PBE
# * spin magnetization: 0.00 μB per formula unit
# * E_tot: -0.2853 hartree per atom
data_ZrNCl
_space_group_name_H-M_alt 'P 1'
_space_group_IT_number 1
_space_group_name_Hall 'P 1'
_cell_length_a 3.444
_cell_length_b 3.444
_cell_length_c 11.047
_cell_angle_alpha 90.00
_cell_angle_beta 90.00
_cell_angle_gamma 120.00
loop_
_atom_site_label
_atom_site_fract_x
_atom_site_fract_y
_atom_site_fract_z
Zr1 0.000 0.000 0.196
Zr2 0.000 0.000 0.804
N1 0.333 0.667 0.138
N2 0.667 0.333 0.862
Cl1 0.333 0.667 0.636
Cl2 0.667 0.333 0.364


No. 9
# NaNbCl4, optimized geometry, DFT PBE
# * spin magnetization: 2.00 μB per formula unit
# * E_tot: -0.1632 hartree per atom
data_NaNbCl4
_space_group_name_H-M_alt 'P 1'
_space_group_IT_number 1
_space_group_name_Hall 'P 1'
_cell_length_a 6.198
_cell_length_b 7.438
_cell_length_c 6.486
_cell_angle_alpha 90.00
_cell_angle_beta 92.78
_cell_angle_gamma 90.00
loop_
_atom_site_label
_atom_site_fract_x
_atom_site_fract_y
_atom_site_fract_z
Na1 0.000 0.132 0.250
Na2 0.000 0.868 0.750
Nb1 0.500 0.373 0.750
Nb2 0.500 0.627 0.250
Cl1 0.259 0.143 0.599
Cl2 0.259 0.857 0.099
Cl3 0.274 0.385 0.064
Cl4 0.274 0.615 0.564
Cl5 0.726 0.385 0.436
Cl6 0.726 0.615 0.936
Cl7 0.741 0.143 0.901
Cl8 0.741 0.857 0.401


No. 10
# Na2NiCl6, optimized geometry, DFT PBE
# * spin magnetization: 0.00 μB per formula unit
# * E_tot: -0.1136 hartree per atom
data_Na2NiCl6
_space_group_name_H-M_alt 'P 1'
_space_group_IT_number 1
_space_group_name_Hall 'P 1'
_cell_length_a 6.581
_cell_length_b 6.581
_cell_length_c 6.581
_cell_angle_alpha 60.00
_cell_angle_beta 60.00
_cell_angle_gamma 60.00
loop_
_atom_site_label
_atom_site_fract_x
_atom_site_fract_y
_atom_site_fract_z
Na1 0.250 0.250 0.250
Na2 0.750 0.750 0.750
Ni1 0.000 0.000 0.000
Cl1 0.239 0.239 0.761
Cl2 0.239 0.761 0.239
Cl3 0.239 0.761 0.761
Cl4 0.761 0.239 0.239
Cl5 0.761 0.239 0.761
Cl6 0.761 0.761 0.239


No. 11
# Na2NiCl6, optimized geometry, DFT PBE
# * spin magnetization: 0.01 μB per formula unit
# * E_tot: -0.1144 hartree per atom
data_Na2NiCl6
_space_group_name_H-M_alt 'P 1'
_space_group_IT_number 1
_space_group_name_Hall 'P 1'
_cell_length_a 6.522
_cell_length_b 6.522
_cell_length_c 6.522
_cell_angle_alpha 120.19
_cell_angle_beta 120.19
_cell_angle_gamma 89.67
loop_
_atom_site_label
_atom_site_fract_x
_atom_site_fract_y
_atom_site_fract_z
Na1 0.250 0.750 0.500
Na2 0.750 0.250 0.500
Ni1 0.000 0.000 0.000
Cl1 0.175 0.704 0.879
Cl2 0.241 0.241 0.000
Cl3 0.296 0.175 0.470
Cl4 0.704 0.825 0.530
Cl5 0.759 0.759 0.000
Cl6 0.825 0.296 0.121


No. 12
# Na2NiCl6, optimized geometry, DFT PBE
# * spin magnetization: 0.01 μB per formula unit
# * E_tot: -0.1153 hartree per atom
data_Na2NiCl6
_space_group_name_H-M_alt 'P 1'
_space_group_IT_number 1
_space_group_name_Hall 'P 1'
_cell_length_a 6.509
_cell_length_b 6.772
_cell_length_c 11.083
_cell_angle_alpha 90.00
_cell_angle_beta 124.98
_cell_angle_gamma 90.00
loop_
_atom_site_label
_atom_site_fract_x
_atom_site_fract_y
_atom_site_fract_z
Na1 0.221 0.085 0.241
Na2 0.221 0.415 0.741
Na3 0.779 0.585 0.259
Na4 0.779 0.915 0.759
Ni1 0.500 0.000 0.000
Ni2 0.500 0.500 0.500
Cl1 0.171 0.183 0.950
Cl2 0.171 0.317 0.450
Cl3 0.279 0.722 0.956
Cl4 0.279 0.778 0.456
Cl5 0.359 0.014 0.762
Cl6 0.359 0.486 0.262
Cl7 0.641 0.514 0.738
Cl8 0.641 0.986 0.238
Cl9 0.721 0.222 0.544
Cl10 0.721 0.278 0.044
Cl11 0.829 0.683 0.550
Cl12 0.829 0.817 0.050